CoAsNO: relaxed, PBE+U.

Calculated values
Energy relative to the lowest polymorph listed for this composition in eV/atom: 0.6666
M_tot in μB/f.u.: 2.5
Density in g/cm³: 5.09
E_tot in eV/atom: -5.36
V in Å³ per atom: 13.37

Structure (CIF):
```
data_CoAsNO
_symmetry_space_group_name_H-M 'P 4/n m m'
_symmetry_Int_Tables_number 129
_cell_length_a 4.012
_cell_length_b 4.012
_cell_length_c 6.644
_cell_angle_alpha 90.00
_cell_angle_beta 90.00
_cell_angle_gamma 90.00
loop_
_symmetry_equiv_pos_as_xyz
'x,y,z'
'-x,-y,-z'
'-y+1/2,x,z'
'y+1/2,-x,-z'
'-x+1/2,-y+1/2,z'
'x+1/2,y+1/2,-z'
'y,-x+1/2,z'
'-y,x+1/2,-z'
'x+1/2,-y,-z'
'-x+1/2,y,z'
'-y,-x,-z'
'y,x,z'
'-x,y+1/2,-z'
'x,-y+1/2,z'
'y+1/2,x+1/2,-z'
'-y+1/2,-x+1/2,z'
loop_
_atom_site_label
_atom_site_type_symbol
_atom_site_fract_x
_atom_site_fract_y
_atom_site_fract_z
Co1 Co 0.250 0.250 0.040
As1 As 0.250 0.750 0.500
N1 N 0.250 0.250 0.411
O1 O 0.250 0.750 0.000
```